VASP calculation (GGA-PBE) on an optimized crystal structure of MnAs2P.

Cell lengths 4.5375, 4.5375, 4.5375 Å; angles 60.00, 60.00, 60.00 degrees
Positions (direct):
Mn 0.0000 0.0000 0.0000
As 0.5000 0.5000 0.5000
As 0.7500 0.7500 0.7500
P 0.2500 0.2500 0.2500

Output
Its energy relative to the elements is 0.46 eV/atom. Its space-group type is F-43m. The calculated total energy is -0.405 Ry/atom. The magnetic moment is 3.1 μB/f.u.

***

VASP calculation (GGA-PBE) on an optimized crystal structure of Na2ReOs.

Cell lengths 6.3361, 6.3361, 6.3361 Å; angles 98.62, 98.62, 134.43 degrees
Positions (direct):
Na 0.1130 0.1250 0.4880
Na 0.3750 0.8870 0.0120
Na 0.6370 0.6250 0.5120
Na 0.8750 0.3630 0.9880
Re 0.2500 0.7500 0.5000
Re 0.5000 0.5000 0.0000
Os 0.0000 0.0000 0.0000
Os 0.7500 0.2500 0.5000

Output
Its energy relative to the elements is 1.71 eV/atom. Its space-group type is I-42d. The calculated total energy is -0.358 Ry/atom. For the energy relative to the lowest polymorph listed for this composition, the calculation gives 0.0000 eV per atom. The magnetic moment is 3.2 μB/f.u.

***

VASP calculation (GGA-PBE) on an optimized crystal structure of Ce3PmNd4P8.

Cell lengths 8.2619, 8.2619, 8.2619 Å; angles 59.99, 59.99, 59.99 degrees
Positions (direct):
Ce 0.0000 0.5000 0.5000
Ce 0.5000 0.0000 0.5000
Ce 0.5000 0.5000 0.0000
Pm 0.0000 0.0000 0.0000
Nd 0.0000 0.0000 0.5000
Nd 0.0000 0.5000 0.0000
Nd 0.5000 0.0000 0.0000
Nd 0.5000 0.5000 0.5000
P 0.2493 0.2493 0.7447
P 0.2493 0.7447 0.2493
P 0.2525 0.2525 0.2525
P 0.2553 0.7507 0.7507
P 0.7447 0.2493 0.2493
P 0.7475 0.7475 0.7475
P 0.7507 0.2553 0.7507
P 0.7507 0.7507 0.2553

Output
Its energy relative to the elements is -1.54 eV/atom. Its space-group type is R-3m. The calculated total energy is -0.503 Ry/atom. The magnetic moment is 1.4 μB/f.u.

***

VASP calculation (GGA-PBE) on an optimized crystal structure of TaCuReO6.

Cell lengths 4.7227, 4.7227, 9.2097 Å; angles 90.00, 90.00, 90.00 degrees
Positions (direct):
Ta 0.0000 0.0000 0.0000
Ta 0.5000 0.5000 0.5000
Cu 0.0000 0.0000 0.6654
Cu 0.5000 0.5000 0.1654
Re 0.0000 0.0000 0.3209
Re 0.5000 0.5000 0.8209
O 0.2010 0.2010 0.1598
O 0.2097 0.2097 0.4717
O 0.2194 0.2194 0.8379
O 0.2806 0.7194 0.3379
O 0.2903 0.7097 0.9717
O 0.2990 0.7010 0.6598
O 0.7010 0.2990 0.6598
O 0.7097 0.2903 0.9717
O 0.7194 0.2806 0.3379
O 0.7806 0.7806 0.8379
O 0.7903 0.7903 0.4717
O 0.7990 0.7990 0.1598

Output
Its space-group type is P4_2nm. The calculated total energy is -0.605 Ry/atom. The formation energy without anion corrections comes out at -15.916 eV per formula unit. The magnetic moment is 0.0 μB/f.u.

***

VASP calculation (GGA-PBE) on an optimized crystal structure of BaSrTlO4.

Cell lengths 7.2226, 7.2226, 6.1440 Å; angles 90.00, 90.00, 129.80 degrees
Positions (direct):
Ba 0.1050 0.8950 0.7500
Ba 0.8950 0.1050 0.2500
Sr 0.3909 0.6091 0.7500
Sr 0.6091 0.3909 0.2500
Tl 0.2542 0.7458 0.2500
Tl 0.7458 0.2542 0.7500
O 0.0000 0.5000 0.0000
O 0.0000 0.5000 0.5000
O 0.0862 0.9138 0.2500
O 0.4239 0.5761 0.2500
O 0.5000 0.0000 0.0000
O 0.5000 0.0000 0.5000
O 0.5761 0.4239 0.7500
O 0.9138 0.0862 0.7500

Output
Its space-group type is Cmcm. The calculated total energy is -0.394 Ry/atom. The formation energy without anion corrections comes out at -11.680 eV per formula unit. The magnetic moment is 0.5 μB/f.u.

***

VASP calculation (GGA-PBE) on an optimized crystal structure of ScTl4Ru.

Cell lengths 6.0186, 6.0186, 6.0186 Å; angles 60.00, 60.00, 60.00 degrees
Positions (direct):
Sc 0.0000 0.0000 0.0000
Tl 0.1262 0.6246 0.6246
Tl 0.6246 0.1262 0.6246
Tl 0.6246 0.6246 0.1262
Tl 0.6246 0.6246 0.6246
Ru 0.2500 0.2500 0.2500

Output
Its energy relative to the elements is 0.73 eV/atom. Its space-group type is F-43m. The calculated total energy is -0.253 Ry/atom. The magnetic moment is 1.2 μB/f.u.

***

VASP calculation (GGA-PBE) on an optimized crystal structure of Th3CoHg.

Cell lengths 5.2479, 5.2479, 5.2479 Å; angles 90.00, 90.00, 90.00 degrees
Positions (direct):
Th 0.0000 0.0000 0.5000
Th 0.0000 0.5000 0.0000
Th 0.5000 0.0000 0.0000
Co 0.0000 0.0000 0.0000
Hg 0.5000 0.5000 0.5000

Output
Its energy relative to the elements is -0.08 eV/atom. Its space-group type is Pm-3m. The calculated total energy is -0.442 Ry/atom. For the energy relative to the lowest polymorph listed for this composition, the calculation gives 0.0978 eV per atom. The magnetic moment is 0.0 μB/f.u.

***

VASP calculation (GGA-PBE) on an optimized crystal structure of CuIrRh4.

Cell lengths 5.0540, 5.0540, 5.0540 Å; angles 60.00, 60.00, 60.00 degrees
Positions (direct):
Cu 0.0000 0.0000 0.0000
Ir 0.2500 0.2500 0.2500
Rh 0.1245 0.6252 0.6252
Rh 0.6252 0.1245 0.6252
Rh 0.6252 0.6252 0.1245
Rh 0.6252 0.6252 0.6252

Output
Its energy relative to the elements is 0.55 eV/atom. Its space-group type is F-43m. The calculated total energy is -0.479 Ry/atom. For the energy relative to the lowest polymorph listed for this composition, the calculation gives 0.5133 eV per atom. The magnetic moment is 1.7 μB/f.u.

***

VASP calculation (GGA-PBE) on an optimized crystal structure of NaPm5Sn8.

Cell lengths 8.1069, 8.1069, 8.1069 Å; angles 107.93, 107.93, 112.60 degrees
Positions (direct):
Na 0.0000 0.0000 0.0000
Pm 0.1532 0.4960 0.8952
Pm 0.2500 0.7500 0.5000
Pm 0.5040 0.3992 0.6572
Pm 0.6008 0.2580 0.1048
Pm 0.7420 0.8468 0.3428
Sn 0.0137 0.2890 0.4026
Sn 0.1749 0.0898 0.7275
Sn 0.3623 0.4474 0.2725
Sn 0.3890 0.9863 0.2753
Sn 0.5526 0.8251 0.9149
Sn 0.7110 0.1137 0.7247
Sn 0.8863 0.6110 0.5974
Sn 0.9102 0.6377 0.0851

Output
Its energy relative to the elements is -0.47 eV/atom. Its space-group type is I-4. The calculated total energy is -0.334 Ry/atom. The magnetic moment is 0.0 μB/f.u.

***

VASP calculation (GGA-PBE) on an optimized crystal structure of Y6Si3H.

Cell lengths 8.8555, 8.8555, 6.6855 Å; angles 90.00, 90.00, 102.36 degrees
Positions (direct):
Y 0.0459 0.9541 0.5000
Y 0.1059 0.5674 0.4765
Y 0.2256 0.7744 0.9787
Y 0.3065 0.3645 0.9672
Y 0.3645 0.3065 0.4672
Y 0.4326 0.8941 0.4765
Y 0.5674 0.1059 0.9765
Y 0.6355 0.6935 0.9672
Y 0.6935 0.6355 0.4672
Y 0.7744 0.2256 0.4787
Y 0.8941 0.4326 0.9765
Y 0.9541 0.0459 0.0000
Si 0.0614 0.2797 0.6911
Si 0.2797 0.0614 0.1911
Si 0.3891 0.6109 0.2547
Si 0.6109 0.3891 0.7547
Si 0.7203 0.9386 0.6911
Si 0.9386 0.7203 0.1911
H 0.1998 0.8002 0.6253
H 0.8002 0.1998 0.1253

Output
Its space-group type is Cmc2_1. The calculated total energy is -0.465 Ry/atom. The magnetic moment is 0.2 μB/f.u.

***

VASP calculation (GGA-PBE) on an optimized crystal structure of Ba4Sr5Zn2.

Cell lengths 10.1699, 4.2996, 12.9655 Å; angles 90.00, 99.61, 90.00 degrees
Positions (direct):
Ba 0.1701 0.0000 0.4254
Ba 0.1764 0.0000 0.8255
Ba 0.8236 0.0000 0.1745
Ba 0.8299 0.0000 0.5746
Sr 0.1669 0.5000 0.1270
Sr 0.4528 0.5000 0.6639
Sr 0.5000 0.5000 0.0000
Sr 0.5472 0.5000 0.3361
Sr 0.8331 0.5000 0.8730
Zn 0.1019 0.5000 0.6213
Zn 0.8981 0.5000 0.3787

Output
Its energy relative to the elements is -0.02 eV/atom. Its space-group type is P2/m. The calculated total energy is -0.126 Ry/atom. The magnetic moment is 0.0 μB/f.u.

***

VASP calculation (GGA-PBE) on an optimized crystal structure of La4HAu2.

Cell lengths 8.6897, 8.6897, 8.6897 Å; angles 147.44, 147.44, 46.72 degrees
Positions (direct):
La 0.0000 0.5000 0.5000
La 0.1883 0.1883 0.0000
La 0.5000 0.0000 0.5000
La 0.8117 0.8117 0.0000
H 0.0000 0.0000 0.0000
Au 0.3691 0.3691 0.0000
Au 0.6309 0.6309 0.0000

Output
Its space-group type is I4/mmm. The calculated total energy is -0.350 Ry/atom. For the energy relative to the lowest polymorph listed for this composition, the calculation gives 0.0470 eV per atom. The magnetic moment is 0.0 μB/f.u.

***

VASP calculation (GGA-PBE) on an optimized crystal structure of Be2FeRu.

Cell lengths 4.8833, 4.8833, 4.8833 Å; angles 105.00, 105.00, 118.84 degrees
Positions (direct):
Be 0.1173 0.6250 0.9923
Be 0.3750 0.3673 0.4923
Be 0.6327 0.1250 0.0077
Be 0.8750 0.8827 0.5077
Fe 0.0000 0.0000 0.0000
Fe 0.7500 0.2500 0.5000
Ru 0.2500 0.7500 0.5000
Ru 0.5000 0.5000 0.0000

Output
Its energy relative to the elements is 0.21 eV/atom. Its space-group type is I-42d. The calculated total energy is -0.447 Ry/atom. The magnetic moment is 2.9 μB/f.u.

***

VASP calculation (GGA-PBE) on an optimized crystal structure of La2NbTe2.

Cell lengths 8.6612, 8.6612, 8.6612 Å; angles 152.08, 152.08, 39.90 degrees
Positions (direct):
La 0.2500 0.7500 0.5000
La 0.7500 0.2500 0.5000
Nb 0.0000 0.0000 0.0000
Te 0.4047 0.4047 0.0000
Te 0.5953 0.5953 0.0000

Output
Its space-group type is I4/mmm. The calculated total energy is -0.366 Ry/atom. For the energy relative to the lowest polymorph listed for this composition, the calculation gives 0.9604 eV per atom. The formation energy without anion corrections comes out at 1.282 eV per formula unit. The magnetic moment is 0.0 μB/f.u.

***

VASP calculation (GGA-PBE) on an optimized crystal structure of Na6NbN4.

Cell lengths 7.6552, 7.6552, 5.8401 Å; angles 90.00, 90.00, 90.00 degrees
Positions (direct):
Na 0.0448 0.5448 0.2500
Na 0.0448 0.9552 0.2500
Na 0.2500 0.2500 0.1292
Na 0.2500 0.2500 0.6292
Na 0.4552 0.5448 0.2500
Na 0.4552 0.9552 0.2500
Na 0.5448 0.0448 0.7500
Na 0.5448 0.4552 0.7500
Na 0.7500 0.7500 0.3708
Na 0.7500 0.7500 0.8708
Na 0.9552 0.0448 0.7500
Na 0.9552 0.4552 0.7500
Nb 0.2500 0.7500 0.7500
Nb 0.7500 0.2500 0.2500
N 0.0264 0.7500 0.5733
N 0.2500 0.5264 0.9267
N 0.2500 0.9736 0.9267
N 0.4736 0.7500 0.5733
N 0.5264 0.2500 0.4267
N 0.7500 0.0264 0.0733
N 0.7500 0.4736 0.0733
N 0.9736 0.2500 0.4267

Output
Its space-group type is P4_2/nmc. The calculated total energy is -0.357 Ry/atom. The formation energy without anion corrections comes out at -2.100 eV per formula unit. The magnetic moment is 1.0 μB/f.u.

***

VASP calculation (GGA-PBE) on an optimized crystal structure of RbBiAu.

Cell lengths 7.4493, 7.4493, 7.4493 Å; angles 140.28, 113.91, 79.95 degrees
Positions (direct):
Rb 0.2446 0.2446 0.0000
Rb 0.7554 0.7554 0.0000
Bi 0.1911 0.5000 0.6911
Bi 0.8089 0.5000 0.3089
Au 0.3276 0.0000 0.3276
Au 0.6724 0.0000 0.6724

Output
Its energy relative to the elements is -0.24 eV/atom. Its space-group type is Immm. The calculated total energy is -0.216 Ry/atom. For the energy relative to the lowest polymorph listed for this composition, the calculation gives 0.0554 eV per atom. The magnetic moment is 0.0 μB/f.u.

***

VASP calculation (GGA-PBE) on an optimized crystal structure of Pr2Tl3SbTe6.

Cell lengths 7.9330, 7.9330, 8.5157 Å; angles 98.95, 98.95, 120.04 degrees
Positions (direct):
Pr 0.1660 0.8340 0.0000
Pr 0.8340 0.1660 0.0000
Tl 0.0000 0.0000 0.5000
Tl 0.3283 0.6717 0.5000
Tl 0.6717 0.3283 0.5000
Sb 0.5000 0.5000 0.0000
Te 0.1047 0.4281 0.7832
Te 0.2513 0.2513 0.2219
Te 0.4281 0.1047 0.7832
Te 0.5719 0.8953 0.2168
Te 0.7487 0.7487 0.7781
Te 0.8953 0.5719 0.2168

Output
Its space-group type is C2/m. The calculated total energy is -0.300 Ry/atom. The formation energy without anion corrections comes out at -9.403 eV per formula unit. The magnetic moment is 0.0 μB/f.u.

***

VASP calculation (GGA-PBE) on an optimized crystal structure of U2TcP.

Cell lengths 3.2289, 3.2306, 7.5720 Å; angles 85.77, 85.92, 75.54 degrees
Positions (direct):
U 0.0545 0.0535 0.2471
U 0.9455 0.9465 0.7529
Tc 0.5000 0.5000 0.5000
P 0.5000 0.5000 0.0000

Output
Its energy relative to the elements is -0.31 eV/atom. Its space-group type is P-1. The calculated total energy is -0.728 Ry/atom. For the energy relative to the lowest polymorph listed for this composition, the calculation gives 0.1579 eV per atom. The magnetic moment is 2.6 μB/f.u.

***

VASP calculation (GGA-PBE) on an optimized crystal structure of SbAs2Pt.

Cell lengths 4.7201, 4.7201, 3.6477 Å; angles 90.00, 90.00, 102.50 degrees
Positions (direct):
Sb 0.0000 0.0000 0.0000
As 0.0000 0.5000 0.5000
As 0.5000 0.0000 0.5000
Pt 0.5000 0.5000 0.0000

Output
Its space-group type is Cmmm. The calculated total energy is -0.338 Ry/atom. The formation energy without anion corrections comes out at 1.085 eV per formula unit. The magnetic moment is 0.0 μB/f.u.

***

VASP calculation (GGA-PBE) on an optimized crystal structure of Tc5Rh.

Cell lengths 4.7924, 4.7924, 4.3594 Å; angles 90.00, 90.00, 120.00 degrees
Positions (direct):
Tc 0.0000 0.6659 0.0000
Tc 0.3333 0.6667 0.5000
Tc 0.3341 0.3341 0.0000
Tc 0.6659 0.0000 0.0000
Tc 0.6667 0.3333 0.5000
Rh 0.0000 0.0000 0.5000

Output
Its energy relative to the elements is -0.06 eV/atom. Its space-group type is P-62m. The calculated total energy is -0.730 Ry/atom. For the energy relative to the lowest polymorph listed for this composition, the calculation gives 0.0105 eV per atom. The magnetic moment is 0.0 μB/f.u.

***

VASP calculation (GGA-PBE) on an optimized crystal structure of PaSi2H.

Cell lengths 3.9393, 3.9393, 4.5364 Å; angles 90.00, 90.00, 90.00 degrees
Positions (direct):
Pa 0.0000 0.0000 0.0000
Si 0.5000 0.5000 0.2480
Si 0.5000 0.5000 0.7520
H 0.0000 0.0000 0.5000

Output
Its space-group type is P4/mmm. The calculated total energy is -0.430 Ry/atom. For the energy relative to the lowest polymorph listed for this composition, the calculation gives 0.3883 eV per atom. The magnetic moment is 0.0 μB/f.u.

***

VASP calculation (GGA-PBE) on an optimized crystal structure of Na2CaI2.

Cell lengths 8.7127, 8.7127, 4.7618 Å; angles 90.00, 90.00, 90.00 degrees
Positions (direct):
Na 0.1668 0.3332 0.0000
Na 0.3332 0.8332 0.0000
Na 0.6668 0.1668 0.0000
Na 0.8332 0.6668 0.0000
Ca 0.0000 0.0000 0.5000
Ca 0.5000 0.5000 0.5000
I 0.1585 0.6585 0.5000
I 0.3415 0.1585 0.5000
I 0.6585 0.8415 0.5000
I 0.8415 0.3415 0.5000

Output
Its space-group type is P4/mbm. The calculated total energy is -0.171 Ry/atom. For the energy relative to the lowest polymorph listed for this composition, the calculation gives 0.0000 eV per atom. The formation energy without anion corrections comes out at -3.875 eV per formula unit. The magnetic moment is 0.0 μB/f.u.

***

VASP calculation (GGA-PBE) on an optimized crystal structure of CdHgTe2.

Cell lengths 7.3810, 7.3810, 3.0725 Å; angles 91.24, 91.24, 131.39 degrees
Positions (direct):
Cd 0.0000 0.0000 0.0000
Hg 0.5000 0.5000 0.0000
Te 0.0000 0.5000 0.5000
Te 0.5000 0.0000 0.5000

Output
Its space-group type is C2/m. The calculated total energy is -0.133 Ry/atom. For the energy relative to the lowest polymorph listed for this composition, the calculation gives 0.3837 eV per atom. The formation energy without anion corrections comes out at 0.286 eV per formula unit. The magnetic moment is 0.0 μB/f.u.